Density functional theory data (PBE-GGA) for crystalline Sm3YHo5 at its relaxed geometry.

## Properties
**SG**: C2/c, No. 15
**Total energy**: -0.3430 Ry per atom
**Energy relative to the lowest polymorph listed for this composition**: 0.000 eV per atom

a b c (Å): 6.711 8.868 11.371
angles (deg): 107.77 90.00 112.23
Fractional coordinates of all 18 atoms:
Y 0.772 0.000 0.750
Ho 0.054 0.352 0.374
Ho 0.946 0.648 0.626
Ho 0.603 0.215 0.545
Y 0.228 0.000 0.250
Sm 0.137 0.525 0.145
Ho 0.318 0.000 0.750
Ho 0.702 0.648 0.126
Ho 0.682 0.000 0.250
Sm 0.000 0.000 0.500
Sm 0.000 0.000 0.000
Ho 0.389 0.785 0.955
Ho 0.298 0.352 0.874
Ho 0.397 0.785 0.455
Sm 0.612 0.475 0.355
Sm 0.863 0.475 0.855
Sm 0.388 0.525 0.645
Ho 0.611 0.215 0.045